Record 1
The following is a DFT calculation (PBE-GGA) of a relaxed FeAs2Ir2 crystal.

Geometry as extended XYZ:
```
10
Lattice="3.9777 0.0000 0.0000 0.0000 3.9777 0.0000 0.0000 0.0000 10.8170" Properties=species:S:1:pos:R:3 pbc="T T T"
Ir 0.0000 0.0000 5.4085
As 0.0000 0.0000 0.0000
As 1.9888 0.0000 3.8526
As 0.0000 1.9888 6.9643
Ir 0.0000 1.9888 9.3682
Ir 1.9888 0.0000 1.4487
Fe 0.0000 1.9888 3.3599
As 1.9888 1.9888 0.0000
Fe 1.9888 0.0000 7.4570
Ir 1.9888 1.9888 5.4085
```

Calculated values
As for the uncorrected energy: -34.3 eV/f.u.

---

Record 2
The following is a DFT calculation (PBE-GGA) of a relaxed LiFeAsIr crystal.

Geometry as extended XYZ:
```
4
Lattice="-2.5546 -2.8279 -1.4779 -3.8231 1.0301 -1.0151 -1.1126 0.1059 -3.9317" Properties=species:S:1:pos:R:3 pbc="T T T"
Li -3.7452 -0.8459 -3.2123
As 0.0000 0.0000 0.0000
Fe -5.6177 -1.2689 -4.8185
Ir -1.8726 -0.4230 -1.6062
```

Calculated values
As for the uncorrected energy: -24.3 eV/f.u. Its energy above the most stable polymorph in this dataset is 0 meV per atom.

---

Record 3
The following is a DFT calculation (PBE-GGA) of a relaxed LiFeAsIr crystal.

Geometry as extended XYZ:
```
4
Lattice="0.0000 2.9785 2.9785 2.9785 0.0000 2.9785 2.9785 2.9785 0.0000" Properties=species:S:1:pos:R:3 pbc="T T T"
Fe 4.4678 4.4678 4.4678
Li 1.4893 1.4893 1.4893
As 0.0000 0.0000 0.0000
Ir 2.9785 2.9785 2.9785
```

Calculated values
As for the uncorrected energy: -23.8 eV/f.u. Its energy above the most stable polymorph in this dataset is 112 meV per atom.

---

Record 4
The following is a DFT calculation (PBE-GGA) of a relaxed FeMoAsIr crystal.

Geometry as extended XYZ:
```
4
Lattice="2.9500 -1.0036 3.0201 -1.0270 0.2625 4.2079 -0.4488 -3.6179 2.3536" Properties=species:S:1:pos:R:3 pbc="T T T"
Mo 0.3685 -1.0898 2.3954
Ir 0.7371 -2.1795 4.7908
As 0.0000 0.0000 0.0000
Fe 1.1056 -3.2693 7.1862
```

Calculated values
As for the uncorrected energy: -32.1 eV/f.u. Its energy above the most stable polymorph in this dataset is 0 meV per atom.